Entry from Alexandria: a relaxed structure of ZrIr3Rh (GGA-PBE).

Cell and atoms, written as POSCAR:
```
ZrIr3Rh
1.0
-2.317 1.627 -3.881
2.168 -3.336 -2.692
-3.607 -3.050 0.875
Ir Rh Zr
3 1 1
Direct
0.500 0.000 0.000
0.000 0.500 0.000
0.000 0.000 0.500
0.500 0.500 0.500
0.000 0.000 0.000
```

Values from the calculation:
- ΔH_f (0 K): 181 kJ/mol of atoms
- SG: Pm-3m
- Calculated total energy: -6.625 eV per atom
- V: 110.8 Å³/f.u.
- Polymorph energy (0 for the lowest one): 2.77 eV/f.u.

=====

Entry from Alexandria: a relaxed structure of PmRePbO6 (GGA-PBE).

Cell and atoms, written as POSCAR:
```
PmRePbO6
1.0
5.716 0.001 0.000
2.859 4.950 0.000
0.000 0.000 5.126
O Pm Pb Re
6 1 1 1
Direct
0.343 0.604 0.289
0.054 0.604 0.711
0.343 0.054 0.711
0.604 0.054 0.289
0.054 0.343 0.289
0.604 0.343 0.711
0.667 0.667 0.500
0.000 0.000 0.000
0.333 0.333 0.500
```

Values from the calculation:
- Energy relative to the elements, uncorrected: -1.970 eV/atom
- SG: P312
- Calculated total energy: -7.598 eV per atom
- V: 145.0 Å³/f.u.

=====

Number 2 is which compound?
PmRePbO6